RbV2IrO8 after structural relaxation. Source: Alexandria, functional PBE with a Hubbard U.

Electronic total energy in eV/cell: -82.623
DOS at the Fermi energy in states/eV per atom: 0.399

Cell lengths 5.594, 5.594, 7.929 Å; angles 90.00, 90.00, 120.00 degrees
Each line ends with the local moment (μB).
Fractional positions:
O: 0.333 0.667 0.923  0.07
O: 0.132 0.321 0.644  0.08
O: 0.679 0.810 0.644  0.08
O: 0.667 0.333 0.077  0.07
O: 0.810 0.132 0.356  0.08
O: 0.321 0.190 0.356  0.08
O: 0.868 0.679 0.356  0.08
O: 0.190 0.868 0.644  0.08
Rb: 0.000 0.000 0.000  0.00
Ir: 0.000 0.000 0.500  0.75
V: 0.667 0.333 0.285  -0.04
V: 0.333 0.667 0.715  -0.04